A plane-wave DFT calculation with PBE-GGA was carried out for a geometry-optimized Ga8Co2Ni structure.

a = 6.7245 Å, b = 6.7245 Å, c = 4.1069 Å
α = 90.13°, β = 90.13°, γ = 74.43°
Fractional positions:
Ga1 0.1166 0.6346 0.0017
Ga2 0.1185 0.1185 0.4984
Ga3 0.3654 0.8834 0.9983
Ga4 0.3708 0.3708 0.5003
Ga5 0.6292 0.6292 0.4997
Ga6 0.6346 0.1166 0.0017
Ga7 0.8815 0.8815 0.5016
Ga8 0.8834 0.3654 0.9983
Co1 0.2525 0.2525 0.0000
Co2 0.7475 0.7475 0.0000
Ni1 0.5000 0.5000 0.0000

Summary:
Space group: C2/m (12)
ΔE_f in eV per atom: -0.22
Spin magnetization in μB/f.u.: 0.0
Calculated total energy in eV per atom: -4.234